! Ca3Hf2ZrN6 | the Alexandria database | PBE | relaxed; values from VASP
! * crystal system: monoclinic
! * uncorrected formation energy: -1.56 eV per atom
! * SG: No. 12
&SYSTEM
  ibrav = 0, nat = 12, ntyp = 4
/
ATOMIC_SPECIES
Ca 40.08 Ca.upf
Hf 178.49 Hf.upf
N 14.01 N.upf
Zr 91.22 Zr.upf
ATOMIC_POSITIONS angstrom
Ca -2.451 -0.174 2.342
Ca -4.577 1.199 0.218
Ca -0.324 -1.547 4.465
Hf -2.825 -1.545 -0.740
Hf -0.698 -2.918 1.383
N -2.019 2.050 3.347
N -2.688 -0.852 4.739
N -2.882 -2.399 1.336
N -4.837 0.535 2.593
N -2.213 0.503 -0.055
N -0.064 -0.884 2.090
Zr 0.000 0.000 0.000
CELL_PARAMETERS angstrom
-4.952 -0.173 -2.864
1.428 -4.291 3.506
-1.378 4.115 4.041

! KSmCuI5 | the Alexandria database | PBE | relaxed; values from VASP
! * crystal system: monoclinic
! * uncorrected formation energy: -1.08 eV per atom
! * SG: No. 15
&SYSTEM
  ibrav = 0, nat = 16, ntyp = 4
/
ATOMIC_SPECIES
I 126.90 I.upf
K 39.10 K.upf
Sm 150.36 Sm.upf
Cu 63.55 Cu.upf
ATOMIC_POSITIONS angstrom
I 4.440 -0.626 3.835
I 0.850 2.834 9.715
I -1.074 5.173 6.494
I -2.016 6.368 2.531
I 3.760 3.393 4.447
I 2.516 1.712 0.615
I 5.382 -1.822 7.799
I -3.193 2.311 9.104
I -0.394 1.154 5.883
I 6.558 2.235 1.226
K 2.476 0.329 7.799
K 0.890 4.217 2.531
Sm 0.000 0.000 0.000
Sm -1.297 -1.752 5.268
Cu -0.990 2.896 7.799
Cu 4.356 1.651 2.531
CELL_PARAMETERS angstrom
8.324 0.070 -0.104
-2.363 7.982 -0.104
-2.595 -3.505 10.537

! VAsI3 | the Alexandria database | PBE | relaxed; values from VASP
! * crystal system: cubic
! * uncorrected formation energy: 0.63 eV per atom
! * SG: No. 221
&SYSTEM
  ibrav = 0, nat = 5, ntyp = 3
/
ATOMIC_SPECIES
I 126.90 I.upf
As 74.92 As.upf
V 50.94 V.upf
ATOMIC_POSITIONS angstrom
I -0.060 -0.996 2.668
I 0.494 2.624 0.990
I -2.804 0.484 0.117
As 0.000 0.000 0.000
V -2.371 2.113 3.775
CELL_PARAMETERS angstrom
-5.609 0.968 0.234
-0.121 -1.991 5.336
0.988 5.249 1.981

! CdCo | the Alexandria database | PBE | relaxed; values from VASP
! * crystal system: hexagonal
! * DFT total energy: -3.5815 eV per atom
! * SG: No. 187
&SYSTEM
  ibrav = 0, nat = 2, ntyp = 2
/
ATOMIC_SPECIES
Co 58.93 Co.upf
Cd 112.41 Cd.upf
ATOMIC_POSITIONS angstrom
Co 0.000 1.638 2.250
Cd 0.000 0.000 0.000
CELL_PARAMETERS angstrom
2.838 0.000 0.000
-1.419 2.457 0.000
0.000 0.000 4.499

! SrTb3H | the Alexandria database | PBE | relaxed; values from VASP
! * crystal system: cubic
! * DFT total energy: -3.7993 eV per atom
! * SG: No. 221
&SYSTEM
  ibrav = 0, nat = 5, ntyp = 3
/
ATOMIC_SPECIES
Tb 158.93 Tb.upf
Sr 87.62 Sr.upf
H 1.01 H.upf
ATOMIC_POSITIONS angstrom
Tb -0.013 2.216 1.315
Tb -2.136 0.726 -1.244
Tb -1.440 -1.097 1.833
Sr -3.589 1.845 1.905
H 0.000 0.000 0.000
CELL_PARAMETERS angstrom
-0.025 4.431 2.631
-4.273 1.453 -2.488
-2.881 -2.193 3.667

! Hf5PtO | the Alexandria database | PBE | relaxed; values from VASP
! * crystal system: monoclinic
! * uncorrected formation energy: -0.86 eV per atom
! * SG: No. 15
&SYSTEM
  ibrav = 0, nat = 14, ntyp = 3
/
ATOMIC_SPECIES
O 16.00 O.upf
Hf 178.49 Hf.upf
Pt 195.08 Pt.upf
ATOMIC_POSITIONS angstrom
O 0.000 0.000 0.000
O 1.259 0.907 3.841
Hf 4.264 6.722 5.399
Hf 6.550 2.985 7.181
Hf 7.496 4.000 0.596
Hf 7.430 6.747 4.437
Hf 3.236 3.727 6.360
Hf 4.182 4.741 -0.224
Hf 6.468 1.005 1.558
Hf 3.650 4.358 3.340
Hf 7.082 3.368 3.617
Hf 3.302 0.980 2.520
Pt 5.747 4.662 5.399
Pt 4.985 3.065 1.558
CELL_PARAMETERS angstrom
6.111 0.173 -0.362
2.103 5.741 -0.362
2.518 1.813 7.682

! CsPmHfSe4 | the Alexandria database | PBE | relaxed; values from VASP
! * crystal system: monoclinic
! * uncorrected formation energy: -1.51 eV per atom
! * SG: No. 11
&SYSTEM
  ibrav = 0, nat = 14, ntyp = 4
/
ATOMIC_SPECIES
Se 78.96 Se.upf
Hf 178.49 Hf.upf
Cs 132.91 Cs.upf
Pm 145.00 Pm.upf
ATOMIC_POSITIONS angstrom
Se 3.047 -7.270 -0.989
Se 5.211 -4.739 -3.542
Se 1.698 -3.555 5.543
Se 2.656 -4.004 1.483
Se 0.492 -6.534 4.036
Se -0.667 -6.296 0.057
Se 6.370 -4.977 0.437
Se 4.006 -7.719 -5.050
Hf 4.668 -5.205 2.249
Hf 1.035 -6.068 -1.755
Cs 6.099 -8.863 -0.280
Cs -0.395 -2.410 0.774
Pm 1.469 -7.887 1.494
Pm 4.234 -3.386 -1.001
CELL_PARAMETERS angstrom
-1.145 -2.827 6.505
-2.484 -6.140 -3.106
9.333 -2.306 -2.906

! Rb2LaOsF6 | the Alexandria database | PBE | relaxed; values from VASP
! * crystal system: tetragonal
! * uncorrected formation energy: -2.25 eV per atom
! * SG: No. 139
&SYSTEM
  ibrav = 0, nat = 10, ntyp = 4
/
ATOMIC_SPECIES
F 19.00 F.upf
La 138.91 La.upf
Rb 85.47 Rb.upf
Os 190.23 Os.upf
ATOMIC_POSITIONS angstrom
F 0.420 -2.182 6.671
F 0.143 -0.745 2.279
F -0.772 -1.347 9.551
F -1.158 0.240 5.123
F -1.529 -2.863 4.131
F 2.093 -0.064 4.819
La 0.282 -1.464 4.475
Rb 0.880 0.873 7.687
Rb -2.810 -1.979 6.987
Os 0.000 0.000 0.000
CELL_PARAMETERS angstrom
-3.409 -4.315 3.774
3.973 1.388 5.175
-2.493 1.821 5.724

Copy entry 8 word for word.
! Rb2LaOsF6 | the Alexandria database | PBE | relaxed; values from VASP
! * crystal system: tetragonal
! * uncorrected formation energy: -2.25 eV per atom
! * SG: No. 139
&SYSTEM
  ibrav = 0, nat = 10, ntyp = 4
/
ATOMIC_SPECIES
F 19.00 F.upf
La 138.91 La.upf
Rb 85.47 Rb.upf
Os 190.23 Os.upf
ATOMIC_POSITIONS angstrom
F 0.420 -2.182 6.671
F 0.143 -0.745 2.279
F -0.772 -1.347 9.551
F -1.158 0.240 5.123
F -1.529 -2.863 4.131
F 2.093 -0.064 4.819
La 0.282 -1.464 4.475
Rb 0.880 0.873 7.687
Rb -2.810 -1.979 6.987
Os 0.000 0.000 0.000
CELL_PARAMETERS angstrom
-3.409 -4.315 3.774
3.973 1.388 5.175
-2.493 1.821 5.724